Below is crystalline CdPdSO at its relaxed geometry, with properties calculated at the PBE level.

abc: 6.9219 3.3230 11.4711
angles: 90.00 90.00 90.00
Element x y z (fractional)
1 O 0.2544 0.5000 0.1340
2 O 0.2456 0.0000 0.6340
3 O 0.7544 0.5000 0.3660
4 O 0.7456 0.0000 0.8660
5 S 0.7853 0.0000 0.1209
6 S 0.2853 0.0000 0.3791
7 S 0.2147 0.5000 0.8791
8 S 0.7147 0.5000 0.6209
9 Pd 0.2619 0.5000 0.5165
10 Pd 0.7619 0.5000 0.9835
11 Pd 0.2381 0.0000 0.0165
12 Pd 0.7381 0.0000 0.4835
13 Cd 0.4749 0.0000 0.7688
14 Cd 0.5251 0.5000 0.2312
15 Cd 0.9749 0.0000 0.7312
16 Cd 0.0251 0.5000 0.2688

Computed properties:
offset from the most stable computed form: 0.028 eV/atom
total energy: -0.15626 hartree per atom

Below is crystalline CdPdSO at its relaxed geometry, with properties calculated at the PBE level.

abc: 5.9644 5.9644 7.0258
angles: 90.00 90.00 32.21
Element x y z (fractional)
1 Cd 0.9822 0.9822 0.7094
2 Cd 0.0178 0.0178 0.2094
3 S 0.6284 0.6284 0.9483
4 S 0.3716 0.3716 0.4483
5 Pd 0.2667 0.2667 0.9707
6 Pd 0.7333 0.7333 0.4707
7 O 0.8852 0.8852 0.9791
8 O 0.1148 0.1148 0.4791

Computed properties:
offset from the most stable computed form: 0.025 eV/atom
total energy: -0.15638 hartree per atom